Record 1
5
Lattice="5.5324 0.0000 0.0000 0.0000 5.5324 0.0000 0.0000 0.0000 5.3928" Properties=species:S:1:pos:R:3 comment="ZnSnSeBr2 (GGA-PBE, relaxed)" n_ef_per_ev_cell=3.34 formation_energy_uncorrected_mev_per_atom=-21.7 spacegroup="P4/mmm, No. 123" energy_ev_per_atom=-2.443 rho_kg_m3=4254 pbc="T T T"
Zn 0.0000 0.0000 0.0000
Sn 2.7662 2.7662 2.6964
Se 2.7662 2.7662 0.0000
Br 0.0000 2.7662 2.6964
Br 2.7662 0.0000 2.6964



Record 2
8
Lattice="5.3814 0.0000 0.0000 0.0000 3.7559 0.0000 -2.6259 0.0000 7.1162" Properties=species:S:1:pos:R:3 comment="Zr2GaP (GGA-PBE, relaxed)" n_ef_per_ev_cell=2.67 formation_enthalpy_0k_mev_per_atom=-943.8 spacegroup="P2_1/m, No. 11" energy_ev_per_atom=-7.327 rho_kg_m3=6538 pbc="T T T"
Zr -0.0396 0.9390 2.9782
Zr 1.2854 2.8169 0.4435
Zr 1.4701 0.9390 6.6727
Zr 2.7951 2.8169 4.1381
Ga 0.2157 2.8169 5.0323
Ga 2.5398 0.9390 2.0839
P -1.4003 0.9390 5.6420
P 4.1558 2.8169 1.4742